[1]
A relaxed Mn2NiI crystal. Source: the Alexandria database, functional GGA-PBE.

a = 6.4179 Å, b = 6.4179 Å, c = 6.4179 Å
α = 90.00°, β = 90.00°, γ = 90.00°
Closest atoms and distances in Å follow each position.
Space group Fm-3m (No. 225)
One atom of each set of equivalent atoms:
1 Mn 0.2500 0.2500 0.2500  4 Ni 2.78, 4 I 2.78
2 Ni 0.0000 0.0000 0.0000  8 Mn 2.78
3 I 0.0000 0.0000 0.5000  8 Mn 2.78

Excess energy over the best structure of this formula in the dataset = 0 meV per atom
Fermi-level density of states = 1.6146 states/eV per atom
ΔE_f (raw) = 0.7387 eV per atom
Calculated density = 7.4 g/cm³
DFT total energy = -90.86 eV/cell

=====

[2]
A relaxed FeCo crystal. Source: the Alexandria database, functional GGA-PBE.

a = 6.1614 Å, b = 2.5464 Å, c = 6.1690 Å
α = 90.00°, β = 109.83°, γ = 90.00°
Closest atoms and distances in Å follow each position.
Space group Pm (No. 6)
One atom of each set of equivalent atoms:
1 Fe 0.0000 0.0000 0.0000  7 Co 2.46-2.58, 5 Fe 2.51-2.56
2 Fe 0.1330 0.5000 0.3831  4 Co 2.47-2.55, 8 Fe 2.55-2.61
3 Fe 0.2681 0.0000 0.7714  6 Co 2.49-2.54, 6 Fe 2.51-2.59
4 Fe 0.5251 0.0000 0.5226  7 Co 2.47-2.52, 5 Fe 2.55-2.61
5 Co 0.3862 0.5000 0.1472  7 Fe 2.47-2.58, 5 Co 2.48-2.55
6 Co 0.6369 0.5000 0.8950  6 Co 2.46-2.61, 6 Fe 2.46-2.51
7 Co 0.7521 0.0000 0.2569  8 Co 2.46-2.55, 4 Fe 2.49-2.55
8 Co 0.8899 0.5000 0.6306  7 Fe 2.47-2.54, 5 Co 2.52-2.61

Energy of formation from the pure elements = 45 meV/atom
Fermi-level density of states = 0.8533 states/eV per atom
Calculated density = 8.4 g/cm³
DFT total energy = -61.91 eV/cell

=====

[3]
A relaxed Er6PbC crystal. Source: the Alexandria database, functional GGA-PBE.

a = 6.6087 Å, b = 6.6302 Å, c = 7.0845 Å
α = 62.33°, β = 62.54°, γ = 60.15°
Closest atoms and distances in Å follow each position.
Space group P-1 (No. 2)
One atom of each set of equivalent atoms:
1 Er 0.0221 0.4007 0.2700  1 C 2.42
2 Er 0.1930 0.9788 0.7311  1 C 2.42
3 Er 0.3998 0.8083 0.2698  1 C 2.42
4 Pb 0.5000 0.5000 0.0000  6 Er 3.06-3.07
5 C 0.0000 0.0000 0.5000  6 Er 2.42

Energy of formation from the pure elements = -57 meV/atom
Fermi-level density of states = 1.1905 states/eV per atom
Calculated density = 8.9 g/cm³
DFT total energy = -40.77 eV/cell

=====

[4]
A relaxed Sr4UPa3As8 crystal. Source: the Alexandria database, functional GGA-PBE.

a = 8.4924 Å, b = 8.4924 Å, c = 21.4097 Å
α = 90.00°, β = 90.00°, γ = 120.00°
Closest atoms and distances in Å follow each position.
Space group R-3m (No. 166, hexagonal axes)
One atom of each set of equivalent atoms:
1 Sr 0.0000 0.0000 0.0000  6 As 3.16
2 Sr 0.0000 0.5000 0.0000  6 As 3.17-3.18
3 U 0.0000 0.0000 0.5000  6 As 2.92
4 Pa 0.0000 0.5000 0.5000  6 As 2.90-2.91
5 As 0.0000 0.0000 0.2395  3 Pa 2.91, 3 Sr 3.17
6 As 0.0024 0.5012 0.7605  2 Pa 2.90, 1 U 2.92, 3 Sr 3.16-3.18

Energy of formation from the pure elements = -1094 meV/atom
Fermi-level density of states = 1.2441 states/eV per atom
Calculated density = 7.0 g/cm³
DFT total energy = -303.62 eV/cell